[1]
A relaxed TlH3N crystal, computed with PBE-GGA.

Density of states at the Fermi level = 0.1283 states/eV per atom
Crystal system = cubic
Total DFT energy (no corrections) = -2.6798 eV per atom

a = 3.9792 Å, b = 3.9792 Å, c = 3.9792 Å
α = 90.00°, β = 90.00°, γ = 90.00°
Last column: nearest neighbours and their distance in Å.
Sites, in units of the cell vectors:
1 Tl 0.0000 0.0000 0.0000  6 H 1.99
2 H 0.0000 0.5000 0.0000  2 Tl 1.99
3 H 0.0000 0.0000 0.5000  2 Tl 1.99
4 H 0.5000 0.0000 0.0000  2 Tl 1.99
5 N 0.5000 0.5000 0.5000  12 H 2.81

---

[2]
A relaxed Be2NbZn2 crystal, computed with PBE-GGA.

Density of states at the Fermi level = 0.3851 states/eV per atom
Crystal system = tetragonal
Total DFT energy (no corrections) = -3.9400 eV per atom

a = 7.0646 Å, b = 7.0646 Å, c = 2.5570 Å
α = 90.00°, β = 90.00°, γ = 90.00°
Last column: nearest neighbours and their distance in Å.
Sites, in units of the cell vectors:
1 Nb 0.5000 0.5000 0.0000  2 Nb 2.56, 4 Zn 2.79
2 Zn 0.1264 0.3736 0.0000  6 Be 2.38-2.49, 3 Zn 2.53-2.56
3 Zn 0.3736 0.8736 0.0000  6 Be 2.38-2.49, 3 Zn 2.53-2.56
4 Be 0.8270 0.3270 0.5000  6 Zn 2.38-2.49, 2 Be 2.56
5 Zn 0.6264 0.1264 0.0000  6 Be 2.38-2.49, 3 Zn 2.53-2.56
6 Be 0.3270 0.1730 0.5000  6 Zn 2.38-2.49, 2 Be 2.56
7 Nb 0.0000 0.0000 0.0000  2 Nb 2.56, 4 Zn 2.79
8 Zn 0.8736 0.6264 0.0000  6 Be 2.38-2.49, 3 Zn 2.53-2.56
9 Be 0.6730 0.8270 0.5000  6 Zn 2.38-2.49, 2 Be 2.56
10 Be 0.1730 0.6730 0.5000  6 Zn 2.38-2.49, 2 Be 2.56

---

Number 1: energy above the most stable polymorph in this dataset 1.683 eV/atom. Number 2: energy above the most stable polymorph in this dataset 0.004 eV/atom.